# Ta2MoP

A geometry-optimized Ta2MoP structure (PBE, Alexandria).

Unit cell a=9.2622 b=3.3086 c=5.0451 alpha=90.00 beta=121.44 gamma=90.00
Last column: nearest neighbours and their distance in Å.
Space group Cm (No. 8)
Asymmetric unit:
Ta  0.0000  0.0000  0.0000 [2 per cell]  2 P 2.54, 3 Mo 2.80-2.81, 2 Ta 2.83
Ta  0.2114  0.0000  0.6653 [2 per cell]  3 P 2.52-2.75
Mo  0.2853  0.5000  0.2377 [2 per cell]  2 P 2.49
P  0.4918  0.0000  0.6102 [2 per cell]  2 Mo 2.49, 5 Ta 2.52-2.75

The value obtained for the density of states at the Fermi level is 6.779 states/eV/cell. The calculation puts the final energy at -81.95 eV for the cell shown. The energy of formation comes out at -0.257 eV/atom. The calculation puts the total moment at 0.00 μB per cell.